Entry from the Alexandria database: a relaxed structure of LaTm4Th (PBE-GGA).

Results
E above lowest polymorph	0.292	eV/atom
energy of formation	322	meV/atom
V	33.5	Å³ per atom
total magnetic moment	4.5	μB per formula unit
DFT total energy	-113.2	eV per cell

Unit cell a=9.3026 b=9.3026 c=9.3026 alpha=90.00 beta=90.00 gamma=90.00
With the nearest neighbours (Å) after each atom.
Space group F-43m (No. 216)
Inequivalent atoms, fractional coordinates:
La: 0.0000 0.0000 0.0000 (multiplicity 4)  12 Tm 3.86, 4 Th 4.03
Tm: 0.1244 0.1244 0.6244 (multiplicity 16)  6 Tm 3.27-3.30
Th: 0.2500 0.2500 0.2500 (multiplicity 4)  12 Tm 3.86, 4 La 4.03

Entry from the Alexandria database: a relaxed structure of PmPa2CdO8 (PBE-GGA).

Results
V	13.5	Å³ per atom
total magnetic moment	0.0	μB per formula unit
DFT total energy	-200.1	eV per cell

Unit cell a=5.4848 b=5.4848 c=10.8089 alpha=90.00 beta=90.00 gamma=90.00
With the nearest neighbours (Å) after each atom.
Space group I-4m2 (No. 119)
Inequivalent atoms, fractional coordinates:
Pm: 0.0000 0.0000 0.0000 (multiplicity 2)  8 O 2.42
Pa: 0.0000 0.0000 0.5000 (multiplicity 2)  8 O 2.31
Pa: 0.0000 0.5000 0.7500 (multiplicity 2)  8 O 2.30
Cd: 0.0000 0.5000 0.2500 (multiplicity 2)  8 O 2.43
O: 0.2309 0.2517 0.6244 (multiplicity 16)  2 Pa 2.30-2.31, 1 Pm 2.42, 1 Cd 2.43, 1 O 2.53

Entry from the Alexandria database: a relaxed structure of BaNaNb (PBE-GGA).

Results
E above lowest polymorph	0.238	eV/atom
energy of formation	574	meV/atom
V	39.1	Å³ per atom
total magnetic moment	0.0	μB per formula unit
DFT total energy	-46.4	eV per cell

Unit cell a=20.7795 b=5.1936 c=4.3521 alpha=90.00 beta=90.17 gamma=90.00
With the nearest neighbours (Å) after each atom.
Space group C2/m (No. 12)
Inequivalent atoms, fractional coordinates:
Ba: 0.0922 0.0000 0.2505 (multiplicity 4)  6 Nb 3.60-3.65
Na: 0.2037 0.5000 0.7501 (multiplicity 4)  1 Nb 3.66, 4 Na 3.89-3.90
Nb: 0.0276 0.5000 0.7503 (multiplicity 4)  2 Nb 2.46

Entry from the Alexandria database: a relaxed structure of TaIr2 (PBE-GGA).

Results
energy of formation	-285	meV/atom
V	16.1	Å³ per atom
total magnetic moment	0.0	μB per formula unit
DFT total energy	-121.7	eV per cell

Unit cell a=5.1747 b=5.1747 c=8.3565 alpha=90.00 beta=90.00 gamma=120.00
With the nearest neighbours (Å) after each atom.
Space group P6_3/mmc (No. 194)
Inequivalent atoms, fractional coordinates:
Ta: 0.3333 0.6667 0.0800 (multiplicity 4)  1 Ta 2.84, 12 Ir 2.95-3.12
Ir: 0.0000 0.0000 0.0000 (multiplicity 2)  6 Ir 2.59
Ir: 0.1706 0.3412 0.7500 (multiplicity 6)  6 Ir 2.53-2.65

Entry from the Alexandria database: a relaxed structure of Rb2CuTe2 (PBE-GGA).

Results
V	34.4	Å³ per atom
total magnetic moment	0.0	μB per formula unit
DFT total energy	-28.7	eV per cell

Unit cell a=7.7411 b=7.7411 c=5.7479 alpha=90.00 beta=90.00 gamma=90.00
With the nearest neighbours (Å) after each atom.
Space group P4/mbm (No. 127)
Inequivalent atoms, fractional coordinates:
Rb: 0.1528 0.3472 0.0000 (multiplicity 4)  1 Rb 3.35, 2 Te 3.46
Cu: 0.0000 0.0000 0.5000 (multiplicity 2)  4 Te 2.87
Te: 0.1712 0.6712 0.5000 (multiplicity 4)  2 Cu 2.87